No. 1
Below is a crystal of GaReAs2Br relaxed with PBEsol, with properties calculated at the SCAN level.

a = 4.8296 Å, b = 4.8296 Å, c = 4.8338 Å
α = 90.00°, β = 90.00°, γ = 90.00°
Closest atoms and distances in Å follow each position.
Positions (direct):
As: 0.5000 0.0000 0.0000  2 Ga 2.41
Ga: 0.0000 0.0000 0.0000  4 As 2.41, 2 Br 2.42
Re: 0.5000 0.5000 0.5000  4 Br 3.42, 8 As 3.42
Br: 0.0000 0.0000 0.5000  2 Ga 2.42
As: 0.0000 0.5000 0.0000  2 Ga 2.41

Summary:
SG	P4/mmm (123)
formation energy from raw total energies	1.468	eV/atom

No. 2
Below is a crystal of GaAsSe2Br relaxed with PBEsol, with properties calculated at the SCAN level.

a = 5.0638 Å, b = 5.1259 Å, c = 5.1259 Å
α = 90.00°, β = 90.00°, γ = 90.00°
Closest atoms and distances in Å follow each position.
Positions (direct):
As: 0.5000 0.0000 0.0000  2 Br 2.53
Se: 0.0000 0.0000 0.5000  2 Br 2.56
Br: 0.0000 0.0000 0.0000  2 As 2.53, 4 Se 2.56
Ga: 0.5000 0.5000 0.5000  8 Se 3.60, 4 As 3.62
Se: 0.0000 0.5000 0.0000  2 Br 2.56

Summary:
SG	P4/mmm (123)
formation energy from raw total energies	0.935	eV/atom

The calculation returns the following calculated total energy values, one per record and in order: -27.989 -18.295 eV/atom.